Record 1
A plane-wave DFT calculation with PBE-GGA was carried out for an optimized crystal structure of Ac4PtRhI2.

Cell lengths 7.689, 4.420, 9.025 Å; angles 90.00, 106.57, 90.00 degrees
Fractional positions:
Ac  0.224  0.000  0.185
Ac  0.268  0.500  0.815
Ac  0.732  0.500  0.185
Ac  0.776  0.000  0.815
Pt  0.500  0.000  0.000
Rh  0.000  0.500  0.000
I  0.000  0.000  0.500
I  0.500  0.500  0.500

## Properties
formation energy (no corrections) = -1.135 eV/atom
total magnetic moment = 0.0 μB/cell
mass density = 8.25 Mg/m³

Record 2
A plane-wave DFT calculation with PBE-GGA was carried out for an optimized crystal structure of Ac6PtRh2I3.

Cell lengths 7.635, 7.635, 9.027 Å; angles 98.11, 98.11, 120.00 degrees
Fractional positions:
Ac  0.099  0.438  0.815
Ac  0.223  0.223  0.185
Ac  0.438  0.099  0.815
Ac  0.562  0.901  0.185
Ac  0.777  0.777  0.815
Ac  0.901  0.562  0.185
Pt  0.500  0.500  0.000
Rh  0.167  0.833  0.000
Rh  0.833  0.167  0.000
I  0.000  0.000  0.500
I  0.333  0.667  0.500
I  0.667  0.333  0.500

## Properties
formation energy (no corrections) = -1.103 eV/atom
total magnetic moment = 0.0 μB/cell
mass density = 8.14 Mg/m³

Record 3
A plane-wave DFT calculation with PBE-GGA was carried out for an optimized crystal structure of Ac6Pt2Rh3I.

Cell lengths 9.974, 9.974, 9.105 Å; angles 104.96, 104.96, 25.14 degrees
Fractional positions:
Ac  0.003  0.003  0.215
Ac  0.318  0.318  0.415
Ac  0.332  0.332  0.916
Ac  0.668  0.668  0.084
Ac  0.682  0.682  0.585
Ac  0.997  0.997  0.785
Pt  0.165  0.165  0.828
Pt  0.835  0.835  0.172
Rh  0.163  0.163  0.328
Rh  0.500  0.500  0.000
Rh  0.837  0.837  0.672
I  0.500  0.500  0.500

## Properties
formation energy (no corrections) = -0.875 eV/atom
total magnetic moment = 0.0 μB/cell
mass density = 9.79 Mg/m³

Record 4
A plane-wave DFT calculation with PBE-GGA was carried out for an optimized crystal structure of Ac6Pt2RhI3.

Cell lengths 7.701, 7.701, 9.015 Å; angles 98.18, 98.18, 120.01 degrees
Fractional positions:
Ac  0.062  0.390  0.185
Ac  0.266  0.266  0.815
Ac  0.390  0.062  0.185
Ac  0.610  0.938  0.815
Ac  0.734  0.734  0.185
Ac  0.938  0.610  0.815
Pt  0.333  0.667  0.000
Pt  0.667  0.333  0.000
Rh  0.000  0.000  0.000
I  0.166  0.834  0.500
I  0.500  0.500  0.500
I  0.834  0.166  0.500

## Properties
formation energy (no corrections) = -1.166 eV/atom
total magnetic moment = 0.0 μB/cell
mass density = 8.37 Mg/m³

Record 5
A plane-wave DFT calculation with PBE-GGA was carried out for an optimized crystal structure of Ac8Pt3RhI3.

Cell lengths 8.922, 8.922, 10.009 Å; angles 116.44, 116.44, 59.94 degrees
Fractional positions:
Ac  0.226  0.226  0.684
Ac  0.226  0.733  0.685
Ac  0.267  0.774  0.315
Ac  0.271  0.271  0.313
Ac  0.729  0.729  0.687
Ac  0.733  0.226  0.685
Ac  0.774  0.267  0.315
Ac  0.774  0.774  0.316
Pt  0.000  0.500  0.500
Pt  0.500  0.000  0.500
Pt  0.500  0.500  0.500
Rh  0.000  0.000  0.500
I  0.000  0.000  0.000
I  0.000  0.500  0.000
I  0.500  0.000  0.000

## Properties
formation energy (no corrections) = -1.063 eV/atom
total magnetic moment = 0.4 μB/cell
mass density = 8.10 Mg/m³

Record 6
A plane-wave DFT calculation with PBE-GGA was carried out for an optimized crystal structure of Ac8Ru3PtI3.

Cell lengths 10.059, 10.059, 10.059 Å; angles 51.54, 51.54, 51.54 degrees
Fractional positions:
Ac  0.218  0.731  0.731
Ac  0.228  0.228  0.228
Ac  0.269  0.269  0.782
Ac  0.269  0.782  0.269
Ac  0.731  0.218  0.731
Ac  0.731  0.731  0.218
Ac  0.772  0.772  0.772
Ac  0.782  0.269  0.269
Ru  0.000  0.000  0.500
Ru  0.000  0.500  0.000
Ru  0.500  0.000  0.000
Pt  0.500  0.500  0.500
I  0.000  0.500  0.500
I  0.500  0.000  0.500
I  0.500  0.500  0.000

## Properties
formation energy (no corrections) = -0.717 eV/atom
total magnetic moment = 0.0 μB/cell
mass density = 7.76 Mg/m³

Record 7
A plane-wave DFT calculation with PBE-GGA was carried out for an optimized crystal structure of Ac6RuPt2I2.

Cell lengths 7.698, 7.698, 8.918 Å; angles 98.20, 98.20, 120.48 degrees
Fractional positions:
Ac  0.064  0.385  0.186
Ac  0.264  0.264  0.813
Ac  0.385  0.064  0.186
Ac  0.615  0.936  0.814
Ac  0.736  0.736  0.187
Ac  0.936  0.615  0.814
Ru  0.000  0.000  0.000
Pt  0.331  0.669  0.000
Pt  0.669  0.331  0.000
I  0.167  0.833  0.500
I  0.833  0.167  0.500

## Properties
formation energy (no corrections) = -0.923 eV/atom
total magnetic moment = 0.0 μB/cell
mass density = 8.02 Mg/m³

Record 8
A plane-wave DFT calculation with PBE-GGA was carried out for an optimized crystal structure of Ac4RuPtI2.

Cell lengths 7.634, 4.404, 9.013 Å; angles 90.00, 106.37, 90.00 degrees
Fractional positions:
Ac  0.220  0.000  0.187
Ac  0.262  0.500  0.816
Ac  0.738  0.500  0.184
Ac  0.780  0.000  0.813
Ru  0.000  0.500  0.000
Pt  0.500  0.000  0.000
I  0.000  0.000  0.500
I  0.500  0.500  0.500

## Properties
formation energy (no corrections) = -1.002 eV/atom
total magnetic moment = 0.0 μB/cell
mass density = 8.33 Mg/m³

Record 9
A plane-wave DFT calculation with PBE-GGA was carried out for an optimized crystal structure of Ac4PtSI2.

Cell lengths 7.833, 4.348, 8.747 Å; angles 90.00, 107.01, 90.00 degrees
Fractional positions:
Ac  0.221  0.000  0.194
Ac  0.274  0.500  0.804
Ac  0.726  0.500  0.196
Ac  0.779  0.000  0.806
Pt  0.000  0.500  0.000
S  0.500  0.000  0.000
I  0.000  0.000  0.500
I  0.500  0.500  0.500

## Properties
formation energy (no corrections) = -1.307 eV/atom
total magnetic moment = 0.0 μB/cell
mass density = 8.10 Mg/m³

Record 10
A plane-wave DFT calculation with PBE-GGA was carried out for an optimized crystal structure of Ac8Pt3SI4.

Cell lengths 8.971, 8.971, 9.965 Å; angles 116.82, 116.82, 59.97 degrees
Fractional positions:
Ac  0.223  0.735  0.692
Ac  0.228  0.228  0.684
Ac  0.265  0.265  0.308
Ac  0.265  0.777  0.308
Ac  0.735  0.223  0.692
Ac  0.735  0.735  0.692
Ac  0.772  0.772  0.316
Ac  0.777  0.265  0.308
Pt  0.000  0.000  0.500
Pt  0.000  0.500  0.500
Pt  0.500  0.000  0.500
S  0.500  0.500  0.500
I  0.000  0.000  0.000
I  0.000  0.500  0.000
I  0.500  0.000  0.000
I  0.500  0.500  0.000

## Properties
formation energy (no corrections) = -1.246 eV/atom
total magnetic moment = 0.0 μB/cell
mass density = 8.24 Mg/m³

Record 11
A plane-wave DFT calculation with PBE-GGA was carried out for an optimized crystal structure of Ac4PtS2I.

Cell lengths 7.808, 4.290, 7.949 Å; angles 90.00, 108.14, 90.00 degrees
Fractional positions:
Ac  0.218  0.000  0.224
Ac  0.253  0.500  0.774
Ac  0.747  0.500  0.226
Ac  0.782  0.000  0.776
Pt  0.500  0.000  0.000
S  0.000  0.000  0.500
S  0.000  0.500  0.000
I  0.500  0.500  0.500

## Properties
formation energy (no corrections) = -1.469 eV/atom
total magnetic moment = 0.0 μB/cell
mass density = 8.49 Mg/m³

Record 12
A plane-wave DFT calculation with PBE-GGA was carried out for an optimized crystal structure of Ac6SbPt2I3.

Cell lengths 8.031, 8.031, 8.779 Å; angles 98.86, 98.86, 119.84 degrees
Fractional positions:
Ac  0.073  0.434  0.805
Ac  0.205  0.205  0.193
Ac  0.434  0.073  0.805
Ac  0.566  0.927  0.195
Ac  0.795  0.795  0.807
Ac  0.927  0.566  0.195
Sb  0.500  0.500  0.000
Pt  0.167  0.833  0.000
Pt  0.833  0.167  0.000
I  0.000  0.000  0.500
I  0.343  0.657  0.500
I  0.657  0.343  0.500

## Properties
formation energy (no corrections) = -1.141 eV/atom
total magnetic moment = 0.0 μB/cell
mass density = 8.01 Mg/m³